1.
A plane-wave DFT calculation with GGA-PBE was carried out for a geometry-optimized Ca2TmCd12Ag3 structure.

Values from the calculation:
Its formation energy from the elements is 136 kJ/mol of formula units. Its size of the total moment is 0.000 μB per formula unit. The value obtained for the calculated total energy is -26.60 eV/cell. As for the density of states at the Fermi level: 9.62 states/eV per cell.

a = 8.838 Å, b = 8.838 Å, c = 8.838 Å
α = 60.12°, β = 60.12°, γ = 60.12°
Fractional positions:
Ca 0.082 0.082 0.082
Ca 0.918 0.918 0.918
Tm 0.500 0.500 0.500
Cd 0.039 0.677 0.677
Cd 0.258 0.258 0.672
Cd 0.258 0.672 0.258
Cd 0.323 0.323 0.961
Cd 0.323 0.961 0.323
Cd 0.328 0.742 0.742
Cd 0.672 0.258 0.258
Cd 0.677 0.039 0.677
Cd 0.677 0.677 0.039
Cd 0.742 0.328 0.742
Cd 0.742 0.742 0.328
Cd 0.961 0.323 0.323
Ag 0.000 0.500 0.500
Ag 0.500 0.000 0.500
Ag 0.500 0.500 0.000

---

2.
A plane-wave DFT calculation with GGA-PBE was carried out for a geometry-optimized AlP2Rh structure.

Values from the calculation:
Its formation energy from the elements is -20 kJ/mol of formula units. Its size of the total moment is 0.000 μB per formula unit. The value obtained for the calculated total energy is -22.12 eV/cell. As for the density of states at the Fermi level: 0.58 states/eV per cell.

a = 3.273 Å, b = 3.273 Å, c = 5.420 Å
α = 90.00°, β = 90.00°, γ = 90.00°
Fractional positions:
Al 0.000 0.000 0.000
P 0.500 0.500 0.268
P 0.500 0.500 0.732
Rh 0.000 0.000 0.500

---

3.
A plane-wave DFT calculation with GGA-PBE was carried out for a geometry-optimized YCu3Br structure.

Values from the calculation:
Its size of the total moment is 0.000 μB per formula unit. The energy above the most stable polymorph in this dataset is 412 meV per atom. The formation energy from raw total energies comes out at 1.0832 eV/atom. The value obtained for the calculated total energy is -15.01 eV/cell. As for the density of states at the Fermi level: 5.81 states/eV per cell.

a = 5.291 Å, b = 5.291 Å, c = 5.291 Å
α = 90.00°, β = 90.00°, γ = 90.00°
Fractional positions:
Y 0.000 0.000 0.000
Cu 0.000 0.000 0.500
Cu 0.000 0.500 0.000
Cu 0.500 0.000 0.000
Br 0.500 0.500 0.500

---

4.
A plane-wave DFT calculation with GGA-PBE was carried out for a geometry-optimized SiNi2Hg structure.

Values from the calculation:
Its size of the total moment is 0.000 μB per formula unit. The energy above the most stable polymorph in this dataset is 256 meV per atom. The formation energy from raw total energies comes out at 0.0662 eV/atom. The value obtained for the calculated total energy is -17.02 eV/cell. As for the density of states at the Fermi level: 2.82 states/eV per cell.

a = 3.079 Å, b = 3.079 Å, c = 6.128 Å
α = 90.00°, β = 90.00°, γ = 90.00°
Fractional positions:
Si 0.000 0.000 0.000
Ni 0.000 0.000 0.626
Ni 0.500 0.500 0.857
Hg 0.500 0.500 0.359